# 1
# AcTb3Pr3

A geometry-optimized AcTb3Pr3 structure (PBE-GGA, the Alexandria database).

The formation energy from the elements comes out at 40 meV/atom. As for the distance to the lowest polymorph of the same formula: 0 meV per atom. As for the spin magnetization: 0.00 Bohr magnetons per cell.

a b c (Å): 9.874 9.874 5.940
angles (deg): 90.00 90.00 120.00
Fractional coordinates of all 14 atoms:
Ac (0.333, 0.667, 0.250)
Ac (0.667, 0.333, 0.750)
Tb (0.043, 0.814, 0.250)
Tb (0.186, 0.229, 0.250)
Tb (0.229, 0.043, 0.750)
Tb (0.771, 0.957, 0.250)
Tb (0.814, 0.771, 0.750)
Tb (0.957, 0.186, 0.750)
Pr (0.094, 0.625, 0.750)
Pr (0.375, 0.469, 0.750)
Pr (0.469, 0.094, 0.250)
Pr (0.531, 0.906, 0.750)
Pr (0.625, 0.531, 0.250)
Pr (0.906, 0.375, 0.250)

---

# 2
# DyLu2Te

A geometry-optimized DyLu2Te structure (PBE-GGA, the Alexandria database).

As for the distance to the lowest polymorph of the same formula: 0 meV per atom. Its formation energy without anion corrections is -507.6 meV per atom. As for the spin magnetization: 0.00 Bohr magnetons per cell.

a b c (Å): 3.798 3.798 7.823
angles (deg): 90.00 90.00 90.00
Fractional coordinates of all 4 atoms:
Dy (0.000, 0.000, 0.000)
Lu (0.500, 0.500, 0.273)
Lu (0.500, 0.500, 0.727)
Te (0.000, 0.000, 0.500)

---

# 3
# AgIrSe

A geometry-optimized AgIrSe structure (PBE-GGA, the Alexandria database).

As for the distance to the lowest polymorph of the same formula: 0 meV per atom. Its formation energy without anion corrections is 110.4 meV per atom. As for the spin magnetization: 0.00 Bohr magnetons per cell.

a b c (Å): 6.403 6.403 6.403
angles (deg): 31.09 31.09 31.09
Fractional coordinates of all 3 atoms:
Ag (0.000, 0.000, 0.000)
Ir (0.444, 0.444, 0.444)
Se (0.849, 0.849, 0.849)

---

# 4
# Tb2ZrRh2

A geometry-optimized Tb2ZrRh2 structure (PBE-GGA, the Alexandria database).

The formation energy from the elements comes out at -695 meV/atom. As for the spin magnetization: 0.00 Bohr magnetons per cell.

a b c (Å): 6.426 6.426 10.993
angles (deg): 117.84 117.84 35.14
Fractional coordinates of all 10 atoms:
Tb (0.041, 0.041, 0.196)
Tb (0.166, 0.166, 0.584)
Tb (0.834, 0.834, 0.416)
Tb (0.959, 0.959, 0.804)
Zr (0.295, 0.295, 0.135)
Zr (0.705, 0.705, 0.865)
Rh (0.369, 0.369, 0.937)
Rh (0.493, 0.493, 0.625)
Rh (0.507, 0.507, 0.375)
Rh (0.631, 0.631, 0.063)

---

# 5
# Rb4PuPa3O12

A geometry-optimized Rb4PuPa3O12 structure (PBE-GGA, the Alexandria database).

Its formation energy without anion corrections is -2963.1 meV per atom. As for the spin magnetization: 3.00 Bohr magnetons per cell.

a b c (Å): 7.599 7.599 7.599
angles (deg): 109.47 109.47 109.47
Fractional coordinates of all 20 atoms:
Rb (0.000, 0.000, 0.500)
Rb (0.000, 0.500, 0.000)
Rb (0.500, 0.000, 0.000)
Rb (0.500, 0.500, 0.500)
Pu (0.000, 0.000, 0.000)
Pa (0.000, 0.500, 0.500)
Pa (0.500, 0.000, 0.500)
Pa (0.500, 0.500, 0.000)
O (0.000, 0.248, 0.248)
O (0.000, 0.752, 0.752)
O (0.248, 0.000, 0.248)
O (0.248, 0.248, 0.000)
O (0.250, 0.500, 0.750)
O (0.250, 0.750, 0.500)
O (0.500, 0.250, 0.750)
O (0.500, 0.750, 0.250)
O (0.750, 0.250, 0.500)
O (0.750, 0.500, 0.250)
O (0.752, 0.000, 0.752)
O (0.752, 0.752, 0.000)

---

# 6
# ErAg2

A geometry-optimized ErAg2 structure (PBE-GGA, the Alexandria database).

The formation energy from the elements comes out at -173 meV/atom. As for the spin magnetization: 0.00 Bohr magnetons per cell.

a b c (Å): 5.678 5.678 5.678
angles (deg): 60.00 60.00 60.00
Fractional coordinates of all 6 atoms:
Er (0.125, 0.125, 0.125)
Er (0.875, 0.875, 0.875)
Ag (0.000, 0.500, 0.500)
Ag (0.500, 0.000, 0.500)
Ag (0.500, 0.500, 0.000)
Ag (0.500, 0.500, 0.500)